Here is a geometry-optimized KRb2CaCl structure from the Alexandria database. Energies are from PBE.

Summary:
Calculated density ... 1.68 g/cm³
E_tot ... -1.9420 eV per atom
Symmetry ... No. 123

Unit cell a=6.649 b=6.649 c=6.381 alpha=90.00 beta=90.00 gamma=90.00
Sites, in units of the cell vectors:
Cl (0.000, 0.000, 0.000)
Ca (0.500, 0.500, 0.500)
Rb (0.500, 0.000, 0.000)
Rb (0.000, 0.500, 0.000)
K (0.000, 0.000, 0.500)